(1)
# PBE-GGA SrNbOs2, relaxed
# * polymorph energy (0 for the lowest one): 0.000 eV/atom
# * magnetization: 0.0 μB/f.u.
# * DFT total energy: -7.889 eV/atom
# * energy of formation from the pure elements: 0.66 eV per atom
data_SrNbOs2
_space_group_name_H-M_alt 'F m -3 m'
_space_group_IT_number 225
_space_group_name_Hall '-F 4 2 3'
_cell_length_a 6.661
_cell_length_b 6.661
_cell_length_c 6.661
_cell_angle_alpha 90.00
_cell_angle_beta 90.00
_cell_angle_gamma 90.00
loop_
_atom_site_label
_atom_site_fract_x
_atom_site_fract_y
_atom_site_fract_z
Sr1 0.000 0.000 0.000
Nb1 0.000 0.000 0.500
Os1 0.250 0.250 0.250


(2)
# PBE-GGA Zr4Hg3, relaxed
# * polymorph energy (0 for the lowest one): 0.012 eV/atom
# * magnetization: 0.0 μB/f.u.
# * DFT total energy: -5.133 eV/atom
# * energy of formation from the pure elements: -0.12 eV per atom
data_Zr4Hg3
_space_group_name_H-M_alt 'I 4/m m m'
_space_group_IT_number 139
_space_group_name_Hall '-I 4 2'
_cell_length_a 3.144
_cell_length_b 3.144
_cell_length_c 31.697
_cell_angle_alpha 90.00
_cell_angle_beta 90.00
_cell_angle_gamma 90.00
loop_
_atom_site_label
_atom_site_fract_x
_atom_site_fract_y
_atom_site_fract_z
Zr1 0.000 0.000 0.071
Zr2 0.000 0.000 0.357
Hg1 0.000 0.000 0.213
Hg2 0.000 0.000 0.500


(3)
# PBE-GGA Cd3Pd, relaxed
# * magnetization: 0.0 μB/f.u.
# * DFT total energy: -2.201 eV/atom
# * energy of formation from the pure elements: -0.22 eV per atom
data_Cd3Pd
_space_group_name_H-M_alt 'P 63/m m c'
_space_group_IT_number 194
_space_group_name_Hall '-P 6c 2c'
_cell_length_a 6.0689
_cell_length_b 6.0689
_cell_length_c 4.8198
_cell_angle_alpha 90.00
_cell_angle_beta 90.00
_cell_angle_gamma 120.00
loop_
_atom_site_label
_atom_site_fract_x
_atom_site_fract_y
_atom_site_fract_z
Cd1 0.1710 0.3421 0.2500
Pd1 0.3333 0.6667 0.7500


(4)
# PBE-GGA HfNb2SiTc, relaxed
# * magnetization: 0.9 μB/f.u.
# * DFT total energy: -7.399 eV/atom
data_HfNb2SiTc
_space_group_name_H-M_alt 'P 4/m m m'
_space_group_IT_number 123
_space_group_name_Hall '-P 4 2'
_cell_length_a 4.928
_cell_length_b 4.928
_cell_length_c 4.652
_cell_angle_alpha 90.00
_cell_angle_beta 90.00
_cell_angle_gamma 90.00
loop_
_atom_site_label
_atom_site_fract_x
_atom_site_fract_y
_atom_site_fract_z
Hf1 0.000 0.000 0.000
Nb1 0.000 0.500 0.000
Si1 0.500 0.500 0.500
Tc1 0.000 0.000 0.500


(5)
# PBE-GGA K4Nb3O10, relaxed
# * magnetization: 0.9 μB/f.u.
# * DFT total energy: -7.225 eV/atom
data_K4Nb3O10
_space_group_name_H-M_alt 'I 4/m m m'
_space_group_IT_number 139
_space_group_name_Hall '-I 4 2'
_cell_length_a 4.060
_cell_length_b 4.060
_cell_length_c 30.297
_cell_angle_alpha 90.00
_cell_angle_beta 90.00
_cell_angle_gamma 90.00
loop_
_atom_site_label
_atom_site_fract_x
_atom_site_fract_y
_atom_site_fract_z
K1 0.000 0.000 0.069
K2 0.000 0.000 0.207
Nb1 0.000 0.000 0.360
Nb2 0.000 0.000 0.500
O1 0.000 0.000 0.299
O2 0.000 0.000 0.434
O3 0.000 0.500 0.000
O4 0.000 0.500 0.135


(6)
# PBE-GGA MnSiTe2, relaxed
# * magnetization: 4.6 μB/f.u.
# * DFT total energy: -4.820 eV/atom
data_MnSiTe2
_space_group_name_H-M_alt 'P 1 2/m 1'
_space_group_IT_number 10
_space_group_name_Hall '-P 2y'
_cell_length_a 4.100
_cell_length_b 3.869
_cell_length_c 7.008
_cell_angle_alpha 90.00
_cell_angle_beta 93.89
_cell_angle_gamma 90.00
loop_
_atom_site_label
_atom_site_fract_x
_atom_site_fract_y
_atom_site_fract_z
Mn1 0.000 0.000 0.000
Si1 0.500 0.000 0.500
Te1 0.281 0.500 0.240